VASP calculation (PBE) on an optimized crystal structure of NaLi2Tl10. Values from VASP.

Quantum ESPRESSO input file:
```
&SYSTEM
  ibrav = 0, nat = 13, ntyp = 3
/
ATOMIC_SPECIES
Tl 204.38 Tl.upf
Li 6.94 Li.upf
Na 22.99 Na.upf
ATOMIC_POSITIONS crystal
Tl 0.987 0.358 0.668
Tl 0.655 0.358 0.332
Tl 0.000 0.000 0.500
Tl 0.274 0.238 0.214
Tl 0.013 0.642 0.332
Tl 0.512 0.762 0.214
Tl 0.726 0.762 0.786
Tl 0.345 0.642 0.668
Tl 0.500 0.000 0.500
Tl 0.488 0.238 0.786
Li 0.000 0.500 0.000
Li 0.500 0.500 0.000
Na 0.000 0.000 0.000
CELL_PARAMETERS angstrom
6.355 0.000 0.000
3.177 8.150 0.000
3.177 0.000 7.335
```

VASP calculation (PBE) on an optimized crystal structure of Ba2BeBi. Values from VASP.

excess energy over the best structure of this formula in the dataset: 41.5 kJ per mole of atoms

Quantum ESPRESSO input file:
```
&SYSTEM
  ibrav = 0, nat = 8, ntyp = 3
/
ATOMIC_SPECIES
Bi 208.98 Bi.upf
Ba 137.33 Ba.upf
Be 9.01 Be.upf
ATOMIC_POSITIONS crystal
Bi 0.000 0.000 0.000
Bi 0.750 0.250 0.500
Ba 0.144 0.625 0.250
Ba 0.875 0.856 0.750
Ba 0.606 0.125 0.250
Ba 0.375 0.394 0.750
Be 0.250 0.750 0.500
Be 0.500 0.500 0.000
CELL_PARAMETERS angstrom
6.370 0.000 0.000
0.000 6.370 0.000
3.185 3.185 9.961
```

Computed density of states at the Fermi level, in the same sequence as the records: 6.14, 3.95 states/eV per cell.
Computed calculated total energy, in the same sequence as the records: -0.08240, -0.09280 hartree per atom.
Computed calculated formation energy, in the same sequence as the records: -0.03, 0.34 eV per atom.